The following is a PBE-GGA calculation of CaY3Sb after structural relaxation, from Alexandria via LeMat-Bulk.

a b c (Å): 5.8025 5.8025 5.8025
angles (deg): 90.00 90.00 90.00
Closest atoms and distances in Å follow each position.
Fractional positions:
Ca: 0.0000 0.0000 0.0000  12 Y 4.10
Y: 0.0000 0.5000 0.5000  2 Sb 2.90
Y: 0.5000 0.0000 0.5000  2 Sb 2.90
Y: 0.5000 0.5000 0.0000  2 Sb 2.90
Sb: 0.5000 0.5000 0.5000  6 Y 2.90

Results
Crystal system = cubic
DOS at the Fermi energy = 7.21 states/eV/cell
Total energy = -5.174 eV/atom
Formation energy (no corrections) = -34 kJ/mol of formula units
Space group = Pm-3m
M_tot = 1.37 μB/f.u.
Offset from the most stable computed form = 0.000 eV per atom

***

The following is a PBE-GGA calculation of CaYSb2 after structural relaxation, from Alexandria via LeMat-Bulk.

a b c (Å): 4.1114 4.7429 6.3368
angles (deg): 90.00 90.00 90.00
Closest atoms and distances in Å follow each position.
Fractional positions:
Ca: 0.0000 0.0000 0.0000  6 Sb 3.14-3.17
Y: 0.5000 0.5000 0.5000  6 Sb 3.14-3.17
Sb: 0.0000 0.0000 0.5000  4 Y 3.14, 2 Ca 3.17
Sb: 0.5000 0.5000 0.0000  4 Ca 3.14, 2 Y 3.17

Results
Crystal system = orthorhombic
DOS at the Fermi energy = 2.10 states/eV/cell
Total energy = -5.092 eV/atom
Formation energy (no corrections) = -353 kJ/mol of formula units
Space group = Pmmm
M_tot = 0.00 μB/f.u.
Offset from the most stable computed form = 0.028 eV per atom

***

The following is a PBE-GGA calculation of CaY2Sb2 after structural relaxation, from Alexandria via LeMat-Bulk.

a b c (Å): 7.6824 7.6824 7.6824
angles (deg): 143.26 143.26 52.93
Closest atoms and distances in Å follow each position.
Fractional positions:
Ca: 0.0000 0.0000 0.0000  8 Sb 3.76, 8 Y 4.21
Y: 0.2500 0.7500 0.5000  4 Sb 3.07, 4 Y 3.42
Y: 0.7500 0.2500 0.5000  4 Sb 3.07, 4 Y 3.42
Sb: 0.3874 0.3874 0.0000  4 Y 3.07, 1 Sb 3.10
Sb: 0.6126 0.6126 0.0000  4 Y 3.07, 1 Sb 3.10

Results
Crystal system = tetragonal
DOS at the Fermi energy = 3.48 states/eV/cell
Total energy = -5.309 eV/atom
Formation energy (no corrections) = -325 kJ/mol of formula units
Space group = I4/mmm
M_tot = 1.04 μB/f.u.
Offset from the most stable computed form = 0.284 eV per atom

***

The following is a PBE-GGA calculation of Ca2YSb after structural relaxation, from Alexandria via LeMat-Bulk.

a b c (Å): 5.5403 5.5403 5.5403
angles (deg): 60.00 60.00 60.00
Closest atoms and distances in Å follow each position.
Fractional positions:
Ca: 0.0000 0.0000 0.0000  4 Ca 3.39, 4 Y 3.39
Ca: 0.2500 0.2500 0.2500  4 Sb 3.39, 4 Ca 3.39
Y: 0.7500 0.7500 0.7500  4 Sb 3.39, 4 Ca 3.39
Sb: 0.5000 0.5000 0.5000  4 Ca 3.39, 4 Y 3.39

Results
Crystal system = cubic
DOS at the Fermi energy = 4.43 states/eV/cell
Total energy = -3.886 eV/atom
Formation energy (no corrections) = -92 kJ/mol of formula units
Space group = F-43m
M_tot = 0.00 μB/f.u.
Offset from the most stable computed form = 0.230 eV per atom

***

The following is a PBE-GGA calculation of CaY2Sb2 after structural relaxation, from Alexandria via LeMat-Bulk.

a b c (Å): 8.3356 8.3356 4.1770
angles (deg): 90.00 90.00 90.00
Closest atoms and distances in Å follow each position.
Fractional positions:
Ca: 0.0000 0.0000 0.0000  4 Sb 3.18
Ca: 0.5000 0.5000 0.0000  4 Sb 3.18
Y: 0.1531 0.3469 0.5000  6 Sb 3.13-3.27
Y: 0.3469 0.8469 0.5000  6 Sb 3.13-3.27
Y: 0.6531 0.1531 0.5000  6 Sb 3.13-3.27
Y: 0.8469 0.6531 0.5000  6 Sb 3.13-3.27
Sb: 0.1487 0.6487 0.0000  6 Y 3.13-3.27, 2 Ca 3.18, 1 Sb 3.51
Sb: 0.3513 0.1487 0.0000  6 Y 3.13-3.27, 2 Ca 3.18, 1 Sb 3.51
Sb: 0.6487 0.8513 0.0000  6 Y 3.13-3.27, 2 Ca 3.18, 1 Sb 3.51
Sb: 0.8513 0.3513 0.0000  6 Y 3.13-3.27, 2 Ca 3.18, 1 Sb 3.51

Results
Crystal system = tetragonal
DOS at the Fermi energy = 2.33 states/eV/cell
Total energy = -5.593 eV/atom
Formation energy (no corrections) = -462 kJ/mol of formula units
Space group = P4/mbm
M_tot = 0.00 μB/f.u.
Offset from the most stable computed form = 0.000 eV per atom

***

The following is a PBE-GGA calculation of CaY3Sb4 after structural relaxation, from Alexandria via LeMat-Bulk.

a b c (Å): 7.6778 8.8736 7.6390
angles (deg): 90.00 109.56 90.00
Closest atoms and distances in Å follow each position.
Fractional positions:
Ca: 0.0000 0.1237 0.2500  6 Sb 3.17-3.18
Ca: 0.0000 0.8763 0.7500  6 Sb 3.17-3.18
Y: 0.0000 0.3738 0.7500  6 Sb 3.12-3.13
Y: 0.0000 0.6262 0.2500  6 Sb 3.12-3.13
Y: 0.5000 0.1239 0.7500  6 Sb 3.08-3.14
Y: 0.5000 0.3743 0.2500  6 Sb 3.08-3.14
Y: 0.5000 0.6257 0.7500  6 Sb 3.08-3.14
Y: 0.5000 0.8761 0.2500  6 Sb 3.08-3.14
Sb: 0.2519 0.3785 0.5032  5 Y 3.10-3.14, 1 Ca 3.18
Sb: 0.2519 0.6215 0.0032  5 Y 3.10-3.14, 1 Ca 3.18
Sb: 0.2569 0.1291 0.9992  4 Y 3.08-3.13, 2 Ca 3.17-3.18
Sb: 0.2569 0.8709 0.4992  4 Y 3.08-3.13, 2 Ca 3.17-3.18
Sb: 0.7431 0.1291 0.5008  4 Y 3.08-3.13, 2 Ca 3.17-3.18
Sb: 0.7431 0.8709 0.0008  4 Y 3.08-3.13, 2 Ca 3.17-3.18
Sb: 0.7481 0.3785 0.9968  5 Y 3.10-3.14, 1 Ca 3.18
Sb: 0.7481 0.6215 0.4968  5 Y 3.10-3.14, 1 Ca 3.18

Results
Crystal system = monoclinic
DOS at the Fermi energy = 6.33 states/eV/cell
Total energy = -5.797 eV/atom
Formation energy (no corrections) = -820 kJ/mol of formula units
Space group = P2/c
M_tot = 0.00 μB/f.u.

***

The following is a PBE-GGA calculation of Ca2YSb after structural relaxation, from Alexandria via LeMat-Bulk.

a b c (Å): 6.6190 6.6190 6.6190
angles (deg): 138.97 138.97 59.43
Closest atoms and distances in Å follow each position.
Fractional positions:
Ca: 0.2500 0.7500 0.5000  4 Ca 3.28
Ca: 0.7500 0.2500 0.5000  4 Ca 3.28
Y: 0.0000 0.0000 0.0000  4 Sb 3.28
Sb: 0.5000 0.5000 0.0000  4 Y 3.28

Results
Crystal system = tetragonal
DOS at the Fermi energy = 2.82 states/eV/cell
Total energy = -4.093 eV/atom
Formation energy (no corrections) = -172 kJ/mol of formula units
Space group = I4/mmm
M_tot = 0.00 μB/f.u.
Offset from the most stable computed form = 0.022 eV per atom

***

The following is a PBE-GGA calculation of Ca2Y2Sb after structural relaxation, from Alexandria via LeMat-Bulk.

a b c (Å): 7.9943 7.9943 5.5984
angles (deg): 90.00 90.00 90.00
Closest atoms and distances in Å follow each position.
Fractional positions:
Ca: 0.1582 0.3418 0.0000  6 Y 3.53-3.74, 1 Ca 3.58
Ca: 0.3418 0.8418 0.0000  6 Y 3.53-3.74, 1 Ca 3.58
Ca: 0.6582 0.1582 0.0000  6 Y 3.53-3.74, 1 Ca 3.58
Ca: 0.8418 0.6582 0.0000  6 Y 3.53-3.74, 1 Ca 3.58
Y: 0.1515 0.6515 0.5000  2 Sb 3.04
Y: 0.3485 0.1515 0.5000  2 Sb 3.04
Y: 0.6515 0.8485 0.5000  2 Sb 3.04
Y: 0.8485 0.3485 0.5000  2 Sb 3.04
Sb: 0.0000 0.0000 0.5000  4 Y 3.04
Sb: 0.5000 0.5000 0.5000  4 Y 3.04

Results
Crystal system = tetragonal
DOS at the Fermi energy = 8.67 states/eV/cell
Total energy = -4.441 eV/atom
Formation energy (no corrections) = -111 kJ/mol of formula units
Space group = P4/mbm
M_tot = 0.90 μB/f.u.

***

The following is a PBE-GGA calculation of CaYSb2 after structural relaxation, from Alexandria via LeMat-Bulk.

a b c (Å): 6.4328 6.4328 6.4328
angles (deg): 139.50 139.50 58.61
Closest atoms and distances in Å follow each position.
Fractional positions:
Ca: 0.0000 0.0000 0.0000  4 Sb 3.15
Y: 0.2500 0.7500 0.5000  4 Sb 3.15
Sb: 0.5000 0.5000 0.0000  4 Ca 3.15
Sb: 0.7500 0.2500 0.5000  4 Y 3.15

Results
Crystal system = tetragonal
DOS at the Fermi energy = 1.38 states/eV/cell
Total energy = -5.033 eV/atom
Formation energy (no corrections) = -330 kJ/mol of formula units
Space group = I-4m2
M_tot = 0.00 μB/f.u.
Offset from the most stable computed form = 0.087 eV per atom

***

The following is a PBE-GGA calculation of Ca2YSb after structural relaxation, from Alexandria via LeMat-Bulk.

a b c (Å): 6.3699 6.3699 3.5365
angles (deg): 90.00 90.00 116.75
Closest atoms and distances in Å follow each position.
Fractional positions:
Ca: 0.0000 0.5000 0.0000  4 Ca 3.34-3.54, 4 Sb 3.64, 4 Y 3.64
Ca: 0.5000 0.0000 0.0000  4 Ca 3.34-3.54, 4 Sb 3.64, 4 Y 3.64
Y: 0.0000 0.0000 0.5000  2 Sb 3.34, 2 Y 3.54, 8 Ca 3.64
Sb: 0.5000 0.5000 0.5000  2 Y 3.34, 2 Sb 3.54, 8 Ca 3.64

Results
Crystal system = orthorhombic
DOS at the Fermi energy = 2.75 states/eV/cell
Total energy = -3.932 eV/atom
Formation energy (no corrections) = -110 kJ/mol of formula units
Space group = Cmmm
M_tot = 0.00 μB/f.u.
Offset from the most stable computed form = 0.184 eV per atom

***

The following is a PBE-GGA calculation of CaYSb2 after structural relaxation, from Alexandria via LeMat-Bulk.

a b c (Å): 6.2821 6.2821 4.6791
angles (deg): 97.03 97.03 39.61
Closest atoms and distances in Å follow each position.
Fractional positions:
Ca: 0.0000 0.0000 0.0000  5 Sb 3.11-3.19
Y: 0.2482 0.2482 0.5192  7 Sb 3.15-3.46
Sb: 0.5167 0.5167 0.5102  4 Ca 3.15-3.19, 3 Y 3.18-3.46, 1 Sb 3.27
Sb: 0.7373 0.7373 0.0123  1 Ca 3.11, 4 Y 3.15-3.18, 1 Sb 3.27

Results
Crystal system = monoclinic
DOS at the Fermi energy = 1.93 states/eV/cell
Total energy = -5.066 eV/atom
Formation energy (no corrections) = -343 kJ/mol of formula units
Space group = Cm
M_tot = 0.00 μB/f.u.
Offset from the most stable computed form = 0.054 eV per atom

***

The following is a PBE-GGA calculation of Ca2YSb after structural relaxation, from Alexandria via LeMat-Bulk.

a b c (Å): 4.1847 4.1848 7.2491
angles (deg): 90.00 90.12 90.00
Closest atoms and distances in Å follow each position.
Fractional positions:
Ca: 0.0000 0.0000 0.0000  1 Y 3.22, 4 Sb 3.45-3.46
Ca: 0.4985 0.5000 0.7097  1 Sb 3.36, 4 Y 3.53, 4 Ca 3.63
Y: 0.9977 0.0000 0.4445  5 Ca 3.22-3.53, 4 Sb 3.29
Sb: 0.4982 0.5000 0.2464  4 Y 3.29, 5 Ca 3.36-3.46

Results
Crystal system = monoclinic
DOS at the Fermi energy = 3.36 states/eV/cell
Total energy = -4.109 eV/atom
Formation energy (no corrections) = -178 kJ/mol of formula units
Space group = Pm
M_tot = 0.82 μB/f.u.
Offset from the most stable computed form = 0.007 eV per atom

***

The following is a PBE-GGA calculation of Ca2YSb after structural relaxation, from Alexandria via LeMat-Bulk.

a b c (Å): 11.2368 11.2368 11.2368
angles (deg): 19.32 19.32 19.32
Closest atoms and distances in Å follow each position.
Fractional positions:
Ca: 0.2378 0.2378 0.2378  3 Sb 3.21
Ca: 0.7622 0.7622 0.7622  3 Sb 3.21
Y: 0.0000 0.0000 0.0000  6 Y 3.77, 6 Ca 3.84
Sb: 0.5000 0.5000 0.5000  6 Ca 3.21

Results
Crystal system = trigonal
DOS at the Fermi energy = 4.44 states/eV/cell
Total energy = -3.869 eV/atom
Formation energy (no corrections) = -85 kJ/mol of formula units
Space group = R-3m
M_tot = 1.08 μB/f.u.
Offset from the most stable computed form = 0.247 eV per atom

***

The following is a PBE-GGA calculation of CaYSb2 after structural relaxation, from Alexandria via LeMat-Bulk.

a b c (Å): 5.4326 5.4326 5.4326
angles (deg): 60.00 60.00 60.00
Closest atoms and distances in Å follow each position.
Fractional positions:
Ca: 0.0000 0.0000 0.0000  4 Sb 3.33, 4 Y 3.33
Y: 0.7500 0.7500 0.7500  4 Sb 3.33, 4 Ca 3.33
Sb: 0.2500 0.2500 0.2500  4 Sb 3.33, 4 Ca 3.33
Sb: 0.5000 0.5000 0.5000  4 Y 3.33, 4 Sb 3.33

Results
Crystal system = cubic
DOS at the Fermi energy = 4.27 states/eV/cell
Total energy = -4.457 eV/atom
Formation energy (no corrections) = -108 kJ/mol of formula units
Space group = F-43m
M_tot = 0.00 μB/f.u.
Offset from the most stable computed form = 0.663 eV per atom